A relaxed structure of LaMn3I9. Source: the Alexandria database, functional GGA-PBE.

a b c (Å): 11.651 11.651 14.925
angles (deg): 124.60 124.60 53.08
Fractional coordinates of all 26 atoms:
La 0.227 0.773 0.500
La 0.773 0.227 0.000
Mn 0.195 0.349 0.794
Mn 0.349 0.195 0.294
Mn 0.571 0.716 0.335
Mn 0.716 0.571 0.835
Mn 0.734 0.976 0.168
Mn 0.976 0.734 0.668
I 0.015 0.515 0.925
I 0.064 0.908 0.675
I 0.130 0.142 0.084
I 0.142 0.130 0.584
I 0.226 0.465 0.446
I 0.233 0.542 0.778
I 0.330 0.701 0.307
I 0.465 0.226 0.946
I 0.515 0.015 0.425
I 0.542 0.233 0.278
I 0.560 0.833 0.969
I 0.584 0.608 0.629
I 0.608 0.584 0.129
I 0.701 0.330 0.807
I 0.783 0.918 0.788
I 0.833 0.560 0.469
I 0.908 0.064 0.175
I 0.918 0.783 0.288

Results
As for the energy relative to the elements, uncorrected: -0.727 eV/atom.


A relaxed structure of TcSn3As. Source: the Alexandria database, functional GGA-PBE.

a b c (Å): 5.312 5.312 5.312
angles (deg): 90.00 90.00 90.00
Fractional coordinates of all 5 atoms:
Tc 0.000 0.000 0.000
Sn 0.000 0.500 0.500
Sn 0.500 0.000 0.500
Sn 0.500 0.500 0.000
As 0.500 0.500 0.500

Results
For the energy relative to the lowest polymorph listed for this composition, the calculation gives 0.817 eV per atom. Its energy of formation from the pure elements is 6.1 eV/f.u.


What is the formula in the first record?
LaMn3I9